# 1
The following is a DFT calculation (PBE) of a relaxed structure of PmTaClO4.

Unit cell a=11.964 b=6.949 c=7.192 alpha=90.00 beta=103.70 gamma=90.00
Space group C2/m (No. 12)
Asymmetric unit:
Pm  0.214  0.000  0.351 (multiplicity 4)
Ta  0.140  0.000  0.774 (multiplicity 4)
Cl  0.022  0.500  0.374 (multiplicity 4)
O  0.020  0.000  0.270 (multiplicity 4)
O  0.193  0.201  0.642 (multiplicity 8)
O  0.209  0.000  0.033 (multiplicity 4)

Values from the calculation:
The crystal system is monoclinic. For the total energy, the calculation gives -226.14 eV/cell.

=====

# 2
The following is a DFT calculation (PBE) of a relaxed structure of SbS3O.

Unit cell a=4.353 b=4.353 c=4.353 alpha=90.00 beta=90.00 gamma=90.00
Space group Pm-3m (No. 221)
Asymmetric unit:
Sb  0.000  0.000  0.000 (multiplicity 1)
S  0.000  0.500  0.500 (multiplicity 3)
O  0.500  0.500  0.500 (multiplicity 1)

Values from the calculation:
As for the energy above the lowest structure with this stoichiometry: 0 meV per atom. The crystal system is cubic. For the total energy, the calculation gives -18.52 eV/cell.

=====

# 3
The following is a DFT calculation (PBE) of a relaxed structure of RbNb2PS10.

Unit cell a=7.623 b=8.078 c=13.121 alpha=90.00 beta=110.68 gamma=90.00
Space group Pc (No. 7)
Asymmetric unit:
Rb  0.000  0.004  0.000 (multiplicity 2)
Nb  0.532  0.443  0.018 (multiplicity 2)
Nb  0.534  0.444  0.729 (multiplicity 2)
P  0.394  0.120  0.843 (multiplicity 2)
S  0.203  0.059  0.300 (multiplicity 2)
S  0.278  0.384  0.099 (multiplicity 2)
S  0.281  0.380  0.544 (multiplicity 2)
S  0.287  0.363  0.823 (multiplicity 2)
S  0.550  0.122  0.008 (multiplicity 2)
S  0.565  0.126  0.752 (multiplicity 2)
S  0.594  0.345  0.386 (multiplicity 2)
S  0.777  0.458  0.924 (multiplicity 2)
S  0.782  0.380  0.652 (multiplicity 2)
S  0.784  0.379  0.196 (multiplicity 2)

Values from the calculation:
The crystal system is monoclinic. For the total energy, the calculation gives -156.13 eV/cell.

=====

# 4
The following is a DFT calculation (PBE) of a relaxed structure of AcLaTbPt2.

Unit cell a=15.276 b=4.624 c=11.514 alpha=90.00 beta=131.17 gamma=90.00
Space group C2/m (No. 12)
Asymmetric unit:
Ac  0.048  0.000  0.231 (multiplicity 4)
La  0.242  0.500  0.133 (multiplicity 4)
Tb  0.131  0.500  0.544 (multiplicity 4)
Pt  0.099  0.500  0.774 (multiplicity 4)
Pt  0.237  0.500  0.392 (multiplicity 4)

Values from the calculation:
For the formation enthalpy at 0 K, the calculation gives -0.977 eV per atom. The crystal system is monoclinic. For the total energy, the calculation gives -122.53 eV/cell.

=====

# 5
The following is a DFT calculation (PBE) of a relaxed structure of Be2SiTe.

Unit cell a=3.6843 b=3.6843 c=16.1195 alpha=90.00 beta=90.00 gamma=120.00
Space group R-3m (No. 166, hexagonal axes)
Asymmetric unit:
Be  0.0000  0.0000  0.2245 (multiplicity 6)
Si  0.0000  0.0000  0.5000 (multiplicity 3)
Te  0.0000  0.0000  0.0000 (multiplicity 3)

Values from the calculation:
As for the energy above the lowest structure with this stoichiometry: 153 meV per atom. The crystal system is trigonal. For the total energy, the calculation gives -43.21 eV/cell.

=====

# 6
The following is a DFT calculation (PBE) of a relaxed structure of Cd3InW.

Unit cell a=5.414 b=5.414 c=5.414 alpha=90.00 beta=90.00 gamma=90.00
Space group Pm-3m (No. 221)
Asymmetric unit:
Cd  0.000  0.000  0.500 (multiplicity 3)
In  0.500  0.500  0.500 (multiplicity 1)
W  0.000  0.000  0.000 (multiplicity 1)

Values from the calculation:
As for the energy above the lowest structure with this stoichiometry: 0 meV per atom. For the formation enthalpy at 0 K, the calculation gives 1.098 eV per atom. The crystal system is cubic. For the total energy, the calculation gives -12.95 eV/cell.

=====

# 7
The following is a DFT calculation (PBE) of a relaxed structure of TmB2Ru.

Unit cell a=5.859 b=5.279 c=6.322 alpha=90.00 beta=90.00 gamma=90.00
Space group Pnma (No. 62)
Asymmetric unit:
Tm  0.011  0.250  0.165 (multiplicity 4)
B  0.133  0.584  0.463 (multiplicity 8)
Ru  0.182  0.250  0.682 (multiplicity 4)

Values from the calculation:
As for the energy above the lowest structure with this stoichiometry: 0 meV per atom. For the formation enthalpy at 0 K, the calculation gives -0.653 eV per atom. The crystal system is orthorhombic. For the total energy, the calculation gives -118.86 eV/cell.

=====

# 8
The following is a DFT calculation (PBE) of a relaxed structure of NdHo2UAs4.

Unit cell a=7.164 b=4.125 c=7.168 alpha=90.00 beta=109.20 gamma=90.00
Space group P2/m (No. 10)
Asymmetric unit:
Nd  0.000  0.000  0.000 (multiplicity 1)
Ho  0.500  0.000  0.500 (multiplicity 1)
Ho  0.500  0.500  0.000 (multiplicity 1)
U  0.000  0.500  0.500 (multiplicity 1)
As  0.252  0.000  0.745 (multiplicity 2)
As  0.255  0.500  0.260 (multiplicity 2)

Values from the calculation:
For the formation enthalpy at 0 K, the calculation gives -1.312 eV per atom. The crystal system is monoclinic. For the total energy, the calculation gives -54.31 eV/cell.

=====

# 9
The following is a DFT calculation (PBE) of a relaxed structure of PaCd2Rh5.

Unit cell a=4.181 b=4.181 c=15.365 alpha=90.00 beta=90.00 gamma=90.00
Space group I4/mmm (No. 139)
Asymmetric unit:
Pa  0.000  0.000  0.000 (multiplicity 2)
Cd  0.000  0.000  0.250 (multiplicity 4)
Rh  0.000  0.000  0.500 (multiplicity 2)
Rh  0.000  0.500  0.122 (multiplicity 8)

Values from the calculation:
For the formation enthalpy at 0 K, the calculation gives -0.496 eV per atom. The crystal system is tetragonal. For the total energy, the calculation gives -104.10 eV/cell.

=====

# 10
The following is a DFT calculation (PBE) of a relaxed structure of CsAgPS4.

Unit cell a=6.367 b=6.939 c=9.306 alpha=90.00 beta=107.94 gamma=90.00
Space group P2_1/m (No. 11)
Asymmetric unit:
Cs  0.245  0.250  0.104 (multiplicity 2)
Ag  0.137  0.750  0.488 (multiplicity 2)
P  0.374  0.250  0.698 (multiplicity 2)
S  0.156  0.022  0.695 (multiplicity 4)
S  0.372  0.750  0.110 (multiplicity 2)
S  0.456  0.250  0.504 (multiplicity 2)

Values from the calculation:
The crystal system is monoclinic. For the total energy, the calculation gives -57.29 eV/cell.

=====

# 11
The following is a DFT calculation (PBE) of a relaxed structure of Mg2Ag8Au3.

Unit cell a=5.3804 b=5.3804 c=30.8683 alpha=90.00 beta=90.00 gamma=120.00
Space group R-3m (No. 166, hexagonal axes)
Asymmetric unit:
Mg  0.0000  0.0000  0.1390 (multiplicity 6)
Ag  0.0000  0.0000  0.2258 (multiplicity 6)
Ag  0.0005  0.5003  0.7283 (multiplicity 18)
Au  0.0000  0.0000  0.3164 (multiplicity 6)
Au  0.0000  0.0000  0.5000 (multiplicity 3)

Values from the calculation:
For the formation enthalpy at 0 K, the calculation gives 0.059 eV per atom. The crystal system is trigonal. For the total energy, the calculation gives -105.18 eV/cell.

=====

# 12
The following is a DFT calculation (PBE) of a relaxed structure of Ca2Ti6N2O11.

Unit cell a=15.005 b=3.747 c=9.606 alpha=90.00 beta=100.42 gamma=90.00
Space group Cm (No. 8)
Asymmetric unit:
Ca  0.000  0.000  0.000 (multiplicity 2)
Ca  0.083  0.000  0.540 (multiplicity 2)
Ti  0.156  0.500  0.883 (multiplicity 2)
Ti  0.185  0.500  0.250 (multiplicity 2)
Ti  0.270  0.500  0.589 (multiplicity 2)
Ti  0.307  0.000  0.061 (multiplicity 2)
Ti  0.361  0.000  0.386 (multiplicity 2)
Ti  0.419  0.000  0.726 (multiplicity 2)
N  0.034  0.500  0.830 (multiplicity 2)
N  0.379  0.500  0.719 (multiplicity 2)
O  0.089  0.500  0.110 (multiplicity 2)
O  0.139  0.500  0.413 (multiplicity 2)
O  0.175  0.500  0.695 (multiplicity 2)
O  0.180  0.000  0.927 (multiplicity 2)
O  0.229  0.000  0.246 (multiplicity 2)
O  0.272  0.500  0.066 (multiplicity 2)
O  0.276  0.000  0.556 (multiplicity 2)
O  0.326  0.500  0.400 (multiplicity 2)
O  0.381  0.000  0.936 (multiplicity 2)
O  0.405  0.000  0.223 (multiplicity 2)
O  0.463  0.000  0.533 (multiplicity 2)

Values from the calculation:
As for the energy above the lowest structure with this stoichiometry: 13 meV per atom. The crystal system is monoclinic. For the total energy, the calculation gives -360.86 eV/cell.